This record from Alexandria via LeMat-Bulk describes a relaxed structure of SrVO3. The functional is PBE+U.

Values from the calculation:
Total energy, eV per atom: -7.310
Magnetization, μB/atom: 0.200
Space group: P2_1/m
Volume, A^3/atom: 15.783

a = 5.9572 Å, b = 4.0423 Å, c = 6.9903 Å
α = 90.00°, β = 110.34°, γ = 90.00°
Fractional coordinates of all 10 atoms:
Sr 0.0126 0.2500 0.2633
Sr 0.9874 0.7500 0.7367
V 0.4974 0.2500 0.8374
V 0.5026 0.7500 0.1626
O 0.2063 0.2500 0.6419
O 0.2060 0.7500 0.1672
O 0.4807 0.7500 0.8811
O 0.5193 0.2500 0.1189
O 0.7940 0.2500 0.8328
O 0.7937 0.7500 0.3581